Dy4Ho2N (GGA-PBE, optimized geometry); formation energy (no corrections) = -0.261 eV per atom; volume = 199.8 Å³ per cell
1.0
-0.7574 1.3119 4.5328
3.7473 -2.6230 1.3853
6.7449 6.2520 1.8371
N Ho Dy
1 2 4
direct
0.0000 0.0000 0.0000
0.6680 0.6680 0.6639
0.3320 0.3320 0.3361
0.8666 0.8666 0.2668
0.1334 0.1334 0.7332
0.0000 0.5000 0.0000
0.5000 0.0000 0.0000